The following is a DFT calculation (meta-GGA SCAN) of a crystal of AlRhSe2 relaxed with PBEsol.

**Density of states at the Fermi level**: 10.63 states/eV/cell
**Theoretical density**: 7.3 g/cm3
**Formation energy from raw total energies**: 267 meV/atom

Unit cell a=6.3948 b=6.3948 c=6.3948 alpha=90.00 beta=90.00 gamma=90.00
Closest atoms and distances in Å follow each position.
Space group F-43m (No. 216)
Unique sites:
Al 0.0000 0.0000 0.0000 (multiplicity 4)  4 Rh 2.77, 4 Se 2.77
Rh 0.2500 0.2500 0.7500 (multiplicity 4)  4 Se 2.77, 4 Al 2.77
Se 0.0000 0.0000 0.5000 (multiplicity 4)  4 Se 2.77, 4 Rh 2.77
Se 0.2500 0.2500 0.2500 (multiplicity 4)  4 Se 2.77, 4 Al 2.77


The following is a DFT calculation (meta-GGA SCAN) of a crystal of AlRhSe2 relaxed with PBEsol.

**Density of states at the Fermi level**: 5.35 states/eV/cell
**Theoretical density**: 6.8 g/cm3
**Formation energy from raw total energies**: -346 meV/atom

Unit cell a=3.7393 b=3.7393 c=17.4471 alpha=90.00 beta=90.00 gamma=120.00
Closest atoms and distances in Å follow each position.
Space group R-3m (No. 166, hexagonal axes)
Unique sites:
Al 0.0000 0.0000 0.0000 (multiplicity 3)  6 Se 2.66
Rh 0.0000 0.0000 0.5000 (multiplicity 3)  6 Se 2.55
Se 0.0000 0.0000 0.2440 (multiplicity 6)  3 Rh 2.55, 3 Al 2.66


The following is a DFT calculation (meta-GGA SCAN) of a crystal of AlRh2Se relaxed with PBEsol.

**Density of states at the Fermi level**: 16.24 states/eV/cell
**Theoretical density**: 9.0 g/cm3
**Formation energy from raw total energies**: -273 meV/atom
**Energy above the lowest structure with this stoichiometry**: 133 meV/atom

Unit cell a=6.1200 b=6.1200 c=6.1200 alpha=90.00 beta=90.00 gamma=90.00
Closest atoms and distances in Å follow each position.
Space group Fm-3m (No. 225)
Unique sites:
Al 0.0000 0.0000 0.0000 (multiplicity 4)  8 Rh 2.65
Rh 0.2500 0.2500 0.2500 (multiplicity 8)  4 Se 2.65, 4 Al 2.65
Se 0.0000 0.0000 0.5000 (multiplicity 4)  8 Rh 2.65


The following is a DFT calculation (meta-GGA SCAN) of a crystal of AlRh2Se relaxed with PBEsol.

**Density of states at the Fermi level**: 5.98 states/eV/cell
**Theoretical density**: 9.0 g/cm3
**Formation energy from raw total energies**: -407 meV/atom
**Energy above the lowest structure with this stoichiometry**: 0 meV/atom

Unit cell a=8.0972 b=2.9555 c=4.9413 alpha=90.00 beta=102.40 gamma=90.00
Closest atoms and distances in Å follow each position.
Space group C2/m (No. 12)
Unique sites:
Al 0.0000 0.0000 0.0000 (multiplicity 2)  6 Rh 2.56-2.61
Rh 0.2452 0.5000 0.2463 (multiplicity 4)  3 Al 2.56-2.61, 3 Se 2.57-2.63, 2 Rh 2.86
Se 0.0000 0.5000 0.5000 (multiplicity 2)  6 Rh 2.57-2.63


The following is a DFT calculation (meta-GGA SCAN) of a crystal of AlSi2Rh relaxed with PBEsol.

**Density of states at the Fermi level**: 3.42 states/eV/cell
**Theoretical density**: 5.4 g/cm3
**Formation energy from raw total energies**: -233 meV/atom

Unit cell a=2.9581 b=2.9581 c=22.6337 alpha=90.00 beta=90.00 gamma=120.00
Closest atoms and distances in Å follow each position.
Space group R-3m (No. 166, hexagonal axes)
Unique sites:
Al 0.0000 0.0000 0.0000 (multiplicity 3)  6 Si 2.63
Si 0.0000 0.0000 0.2450 (multiplicity 6)  3 Rh 2.46, 3 Al 2.63
Rh 0.0000 0.0000 0.5000 (multiplicity 3)  6 Si 2.46


The following is a DFT calculation (meta-GGA SCAN) of a crystal of Al2SiRh relaxed with PBEsol.

**Density of states at the Fermi level**: 2.67 states/eV/cell
**Theoretical density**: 5.6 g/cm3
**Formation energy from raw total energies**: -479 meV/atom

Unit cell a=5.1526 b=7.4705 c=2.8685 alpha=90.00 beta=90.00 gamma=90.00
Closest atoms and distances in Å follow each position.
Space group Cmmm (No. 65)
Unique sites:
Al 0.2500 0.2500 0.0000 (multiplicity 4)  4 Al 2.58-2.87, 4 Rh 2.68, 4 Si 2.68
Si 0.0000 0.0000 0.5000 (multiplicity 2)  2 Rh 2.58, 8 Al 2.68, 2 Si 2.87
Rh 0.0000 0.5000 0.5000 (multiplicity 2)  2 Si 2.58, 8 Al 2.68, 2 Rh 2.87